The following is a DFT calculation (PBE) of an optimized crystal structure of SiGe.

Unit cell a=3.941 b=3.941 c=6.502 alpha=90.00 beta=90.00 gamma=120.00
Element x y z (fractional)
Ge 0.667 0.333 0.500
Ge 0.333 0.667 0.000
Si 0.667 0.333 0.875
Si 0.333 0.667 0.375

The theoretical density comes out at 3.8 g cm⁻³. As for the symmetry: P6_3mc, No. 186.



The following is a DFT calculation (PBE) of an optimized crystal structure of SiGe.

Unit cell a=7.679 b=7.679 c=7.679 alpha=90.00 beta=90.00 gamma=90.00
Element x y z (fractional)
Si 0.158 0.158 0.158
Si 0.158 0.842 0.842
Si 0.842 0.158 0.842
Si 0.842 0.842 0.158
Si 0.658 0.658 0.658
Si 0.658 0.342 0.342
Si 0.342 0.658 0.342
Si 0.342 0.342 0.658
Ge 0.338 0.338 0.338
Ge 0.338 0.662 0.662
Ge 0.662 0.338 0.662
Ge 0.662 0.662 0.338
Ge 0.838 0.838 0.838
Ge 0.838 0.162 0.162
Ge 0.162 0.838 0.162
Ge 0.162 0.162 0.838

The theoretical density comes out at 3.0 g cm⁻³. The value obtained for the density of states at the Fermi level is 0.014 states/eV per atom. As for the symmetry: I-43m, No. 217.



The following is a DFT calculation (PBE) of an optimized crystal structure of SiGe.

Unit cell a=3.943 b=3.943 c=6.504 alpha=90.00 beta=90.00 gamma=120.00
Element x y z (fractional)
Ge 0.000 0.000 0.308
Ge 0.000 0.000 0.692
Si 0.333 0.667 0.817
Si 0.333 0.667 0.183

The theoretical density comes out at 3.8 g cm⁻³. The value obtained for the density of states at the Fermi level is 0.001 states/eV per atom. As for the symmetry: P-6m2, No. 187.



The following is a DFT calculation (PBE) of an optimized crystal structure of SiGe.

Unit cell a=7.158 b=7.192 c=8.052 alpha=90.00 beta=90.00 gamma=90.00
Element x y z (fractional)
Si 0.345 0.099 0.032
Si 0.845 0.401 0.968
Si 0.655 0.599 0.468
Si 0.155 0.901 0.532
Si 0.362 0.563 0.768
Si 0.862 0.937 0.232
Si 0.638 0.063 0.732
Si 0.138 0.437 0.268
Ge 0.689 0.109 0.028
Ge 0.189 0.391 0.972
Ge 0.311 0.609 0.472
Ge 0.811 0.891 0.528
Ge 0.343 0.906 0.784
Ge 0.843 0.594 0.216
Ge 0.657 0.406 0.716
Ge 0.157 0.094 0.284

The theoretical density comes out at 3.2 g cm⁻³. As for the symmetry: P2_12_12_1, No. 19.



Number 1: magnetic moment 0.00 μB/f.u., formation energy without anion corrections 0.04 eV/atom. Number 2: magnetic moment 0.00 μB/f.u., formation energy without anion corrections 0.32 eV/atom. Number 3: magnetic moment 0.00 μB/f.u., formation energy without anion corrections 0.03 eV/atom. Number 4: magnetic moment 0.00 μB/f.u., formation energy without anion corrections 0.27 eV/atom.